# ZrTlZnCo, optimized geometry, DFT GGA-PBE
# Energy above the most stable polymorph in this dataset = 0.130 eV/atom
# Density = 9.993 g cm⁻³
# Total moment = 0.32 μB/cell
data_ZrTlZnCo
_space_group_name_H-M_alt 'P 1'
_space_group_IT_number 1
_cell_length_a 4.621
_cell_length_b 4.621
_cell_length_c 4.621
_cell_angle_alpha 60.00
_cell_angle_beta 60.00
_cell_angle_gamma 60.00
loop_
_space_group_symop_operation_xyz
'x,y,z'
loop_
_atom_site_label
_atom_site_fract_x
_atom_site_fract_y
_atom_site_fract_z
Co1 0.750 0.750 0.750
Zn1 0.500 0.500 0.500
Zr1 0.250 0.250 0.250
Tl1 0.000 0.000 0.000